Entry 1:
## MgTcNi2 (PBE)

Data for a relaxed structure of MgTcNi2.

Unit cell a=8.6513 b=8.6513 c=8.6513 alpha=17.97 beta=17.97 gamma=17.97
Fractional coordinates of all 4 atoms:
1 Ni 0.9977 0.9977 0.9977
2 Ni 0.5023 0.5023 0.5023
3 Tc 0.2500 0.2500 0.2500
4 Mg 0.7500 0.7500 0.7500

Values from the calculation:
electronic total energy	-23.0	eV per cell
DFT formation energy	0.5	eV/f.u.
total magnetization	0.00	μB per cell

Entry 2:
## MgTcNi2 (PBE)

Data for a relaxed structure of MgTcNi2.

Unit cell a=3.6804 b=2.6544 c=6.1035 alpha=64.16 beta=90.00 gamma=90.00
Fractional coordinates of all 4 atoms:
1 Tc 0.5000 0.2500 0.2500
2 Ni 0.0000 0.9768 0.0242
3 Ni 0.0000 0.5232 0.4758
4 Mg 0.5000 0.7500 0.7500

Values from the calculation:
electronic total energy	-23.5	eV per cell
DFT formation energy	0.1	eV/f.u.
total magnetization	0.00	μB per cell

Entry 3:
## MgTcNi (PBE)

Data for a relaxed structure of MgTcNi.

Unit cell a=4.0862 b=4.0862 c=4.0862 alpha=60.00 beta=60.00 gamma=60.00
Site moments in Bohr magnetons follow the coordinates.
Fractional coordinates of all 3 atoms:
1 Tc 0.0000 0.0000 0.0000  0.91
2 Ni 0.2500 0.2500 0.2500  0.34
3 Mg 0.5000 0.5000 0.5000  -0.01

Values from the calculation:
electronic total energy	-16.4	eV per cell
DFT formation energy	1.4	eV/f.u.
total magnetization	1.26	μB per cell
polymorph energy (0 for the lowest one)	390	meV/atom

Entry 4:
## MgTcNi2 (PBE)

Data for a relaxed structure of MgTcNi2.

Unit cell a=4.2030 b=4.2030 c=4.2030 alpha=60.00 beta=60.00 gamma=60.00
Site moments in Bohr magnetons follow the coordinates.
Fractional coordinates of all 4 atoms:
1 Ni 0.2500 0.2500 0.2500  -0.03
2 Ni 0.0000 0.0000 0.0000  0.37
3 Mg 0.5000 0.5000 0.5000  0.01
4 Tc 0.7500 0.7500 0.7500  0.72

Values from the calculation:
electronic total energy	-22.6	eV per cell
DFT formation energy	0.9	eV/f.u.
total magnetization	1.07	μB per cell

Entry 5:
## MgTcNi2 (PBE)

Data for a relaxed structure of MgTcNi2.

Unit cell a=3.7059 b=3.7059 c=8.8099 alpha=77.86 beta=77.86 gamma=90.00
Fractional coordinates of all 8 atoms:
1 Tc 0.0000 0.0000 0.0000
2 Tc 0.7500 0.2500 0.5000
3 Ni 0.1124 0.6250 0.2500
4 Ni 0.8750 0.8876 0.7500
5 Ni 0.3750 0.3624 0.7500
6 Ni 0.6376 0.1250 0.2500
7 Mg 0.5000 0.5000 0.0000
8 Mg 0.2500 0.7500 0.5000

Values from the calculation:
electronic total energy	-42.4	eV per cell
DFT formation energy	2.3	eV/f.u.
total magnetization	0.00	μB per cell

Entry 6:
## MgTcNi (PBE)

Data for a relaxed structure of MgTcNi.

Unit cell a=6.0858 b=6.0858 c=2.7306 alpha=77.04 beta=77.03 gamma=25.93
Fractional coordinates of all 3 atoms:
1 Tc 0.6825 0.6825 0.3175
2 Ni 0.3243 0.3243 0.6757
3 Mg 0.9932 0.9932 0.0068

Values from the calculation:
electronic total energy	-17.5	eV per cell
DFT formation energy	0.2	eV/f.u.
total magnetization	0.00	μB per cell
polymorph energy (0 for the lowest one)	0	meV/atom

Entry 7:
## MgTcNi2 (PBE)

Data for a relaxed structure of MgTcNi2.

Unit cell a=4.7069 b=4.7069 c=4.7069 alpha=133.93 beta=133.93 gamma=67.20
Site moments in Bohr magnetons follow the coordinates.
Fractional coordinates of all 4 atoms:
1 Ni 0.0000 0.0000 0.0000  0.52
2 Ni 0.2500 0.7500 0.5000  0.42
3 Mg 0.7500 0.2500 0.5000  -0.01
4 Tc 0.5000 0.5000 0.0000  1.10

Values from the calculation:
electronic total energy	-22.8	eV per cell
DFT formation energy	0.7	eV/f.u.
total magnetization	2.04	μB per cell

Entry 8:
## MgTcNi2 (PBE)

Data for a relaxed structure of MgTcNi2.

Unit cell a=4.4468 b=4.4468 c=4.9312 alpha=83.88 beta=83.88 gamma=34.10
Fractional coordinates of all 4 atoms:
1 Ni 0.4971 0.4971 0.5282
2 Ni 0.0029 0.0029 0.9718
3 Mg 0.2500 0.2500 0.2500
4 Tc 0.7500 0.7500 0.7500

Values from the calculation:
electronic total energy	-23.0	eV per cell
DFT formation energy	0.5	eV/f.u.
total magnetization	0.00	μB per cell

Entry 9:
## MgTcNi2 (PBE)

Data for a relaxed structure of MgTcNi2.

Unit cell a=4.5221 b=4.5221 c=2.6458 alpha=90.00 beta=90.00 gamma=103.15
Site moments in Bohr magnetons follow the coordinates.
Fractional coordinates of all 4 atoms:
1 Mg 0.0000 0.5000 0.5000  -0.01
2 Tc 0.5000 0.0000 0.5000  0.50
3 Ni 0.0000 0.0000 0.0000  0.22
4 Ni 0.5000 0.5000 0.0000  0.22

Values from the calculation:
electronic total energy	-23.5	eV per cell
DFT formation energy	0.1	eV/f.u.
total magnetization	0.93	μB per cell

Entry 10:
## MgTcNi2 (PBE)

Data for a relaxed structure of MgTcNi2.

Unit cell a=2.6830 b=2.6830 c=7.3594 alpha=90.00 beta=90.00 gamma=90.00
Fractional coordinates of all 4 atoms:
1 Tc 0.5000 0.5000 0.2500
2 Ni 0.0000 0.0000 0.4889
3 Ni 0.0000 0.0000 0.0111
4 Mg 0.5000 0.5000 0.7500

Values from the calculation:
electronic total energy	-23.8	eV per cell
DFT formation energy	-0.2	eV/f.u.
total magnetization	0.00	μB per cell

Entry 11:
## MgTcNiW (PBE)

Data for a relaxed structure of MgTcNiW.

Unit cell a=4.3496 b=4.3496 c=4.3496 alpha=60.00 beta=60.00 gamma=60.00
Fractional coordinates of all 4 atoms:
1 Tc 0.5000 0.5000 0.5000
2 Mg 0.2500 0.2500 0.2500
3 Ni 0.0000 0.0000 0.0000
4 W 0.7500 0.7500 0.7500

Values from the calculation:
electronic total energy	-30.3	eV per cell
DFT formation energy	0.4	eV/f.u.
total magnetization	0.02	μB per cell

Entry 12:
## MgZn2TcNi (PBE)

Data for a relaxed structure of MgZn2TcNi.

Unit cell a=4.5322 b=4.2835 c=4.5322 alpha=90.00 beta=90.00 gamma=90.00
Site moments in Bohr magnetons follow the coordinates.
Fractional coordinates of all 5 atoms:
1 Mg 0.0000 0.0000 0.0000  0.00
2 Ni 0.0000 0.5000 0.0000  -0.03
3 Zn 0.0000 0.0000 0.5000  -0.05
4 Zn 0.5000 0.0000 0.0000  -0.04
5 Tc 0.5000 0.5000 0.5000  2.18

Values from the calculation:
electronic total energy	-13.8	eV per cell
DFT formation energy	6.4	eV/f.u.
total magnetization	2.12	μB per cell

Entry 13:
## Mg2NiTe (PBE)

Data for a relaxed structure of Mg2NiTe.

Unit cell a=3.2788 b=3.2788 c=7.6882 alpha=90.00 beta=90.00 gamma=90.04
Fractional coordinates of all 4 atoms:
1 Mg 0.5000 0.5000 0.2958
2 Mg 0.0000 0.0000 0.0103
3 Ni 0.0000 0.0000 0.5092
4 Te 0.5000 0.5000 0.6846

Values from the calculation:
formation energy from raw total energies	0.02	eV per formula unit
electronic total energy	-12.1	eV per cell
total magnetization	0.00	μB per cell

Entry 14:
## Mg2NiTe (PBE)

Data for a relaxed structure of Mg2NiTe.

Unit cell a=6.6781 b=6.6781 c=6.6781 alpha=152.63 beta=142.18 gamma=47.31
Fractional coordinates of all 4 atoms:
1 Te 0.3226 0.8226 0.5000
2 Mg 0.6761 0.1761 0.5000
3 Mg 0.0035 0.0035 0.0000
4 Ni 0.4979 0.4979 0.0000

Values from the calculation:
formation energy from raw total energies	-0.77	eV per formula unit
electronic total energy	-12.9	eV per cell
total magnetization	0.00	μB per cell

Entry 15:
## Mg2NiTe (PBE)

Data for a relaxed structure of Mg2NiTe.

Unit cell a=4.8223 b=4.8223 c=6.5626 alpha=69.04 beta=69.04 gamma=38.65
Fractional coordinates of all 4 atoms:
1 Mg 0.9928 0.9928 0.9538
2 Mg 0.8069 0.8069 0.6602
3 Ni 0.5453 0.5453 0.6098
4 Te 0.1550 0.1550 0.2763

Values from the calculation:
formation energy from raw total energies	-0.62	eV per formula unit
electronic total energy	-12.7	eV per cell
total magnetization	0.00	μB per cell

Entry 16:
## Mg2Ni2Te (PBE)

Data for a relaxed structure of Mg2Ni2Te.

Unit cell a=6.6041 b=6.6041 c=3.9179 alpha=90.00 beta=90.00 gamma=90.00
Fractional coordinates of all 10 atoms:
1 Ni 0.6332 0.1332 0.0000
2 Ni 0.8668 0.6332 0.0000
3 Ni 0.3668 0.8668 0.0000
4 Ni 0.1332 0.3668 0.0000
5 Te 0.0000 0.0000 0.0000
6 Te 0.5000 0.5000 0.0000
7 Mg 0.3407 0.1593 0.5000
8 Mg 0.8407 0.3407 0.5000
9 Mg 0.6593 0.8407 0.5000
10 Mg 0.1593 0.6593 0.5000

Values from the calculation:
formation energy from raw total energies	-1.05	eV per formula unit
electronic total energy	-37.9	eV per cell
total magnetization	0.00	μB per cell

Entry 17:
## Mg3NiTe (PBE)

Data for a relaxed structure of Mg3NiTe.

Unit cell a=5.3385 b=5.3385 c=5.3385 alpha=90.00 beta=90.00 gamma=90.00
Site moments in Bohr magnetons follow the coordinates.
Fractional coordinates of all 5 atoms:
1 Mg 0.0000 0.0000 0.5000  0.00
2 Mg 0.5000 0.0000 0.0000  0.00
3 Mg 0.0000 0.5000 0.0000  -0.01
4 Te 0.0000 0.0000 0.0000  -0.01
5 Ni 0.5000 0.5000 0.5000  0.46

Values from the calculation:
formation energy from raw total energies	3.97	eV per formula unit
electronic total energy	-9.7	eV per cell
total magnetization	0.33	μB per cell
polymorph energy (0 for the lowest one)	835	meV/atom

Entry 18:
## Mg2NiTe (PBE)

Data for a relaxed structure of Mg2NiTe.

Unit cell a=3.6650 b=3.6548 c=6.8161 alpha=57.55 beta=90.00 gamma=90.00
Fractional coordinates of all 4 atoms:
1 Ni 0.5000 0.2500 0.2500
2 Mg 0.0000 0.5171 0.4827
3 Mg 0.0000 0.9829 0.0173
4 Te 0.5000 0.7500 0.7500

Values from the calculation:
formation energy from raw total energies	-0.62	eV per formula unit
electronic total energy	-12.7	eV per cell
total magnetization	0.00	μB per cell

Entry 19:
## MgNiTe2 (PBE)

Data for a relaxed structure of MgNiTe2.

Unit cell a=3.9552 b=5.9653 c=3.8929 alpha=90.00 beta=90.00 gamma=90.00
Fractional coordinates of all 4 atoms:
1 Te 0.0000 0.0000 0.0000
2 Te 0.5000 0.5000 0.0000
3 Mg 0.5000 0.0000 0.5000
4 Ni 0.0000 0.5000 0.5000

Values from the calculation:
formation energy from raw total energies	0.19	eV per formula unit
electronic total energy	-13.5	eV per cell
total magnetization	0.00	μB per cell
polymorph energy (0 for the lowest one)	425	meV/atom

Entry 20:
## MgNiTe2 (PBE)

Data for a relaxed structure of MgNiTe2.

Unit cell a=5.6422 b=5.0214 c=4.3762 alpha=72.27 beta=76.49 gamma=117.39
Fractional coordinates of all 4 atoms:
1 Te 0.5000 0.0000 0.5000
2 Te 0.0000 0.0000 0.0000
3 Mg 0.0000 0.5000 0.5000
4 Ni 0.5000 0.5000 0.0000

Values from the calculation:
formation energy from raw total energies	-0.12	eV per formula unit
electronic total energy	-13.8	eV per cell
total magnetization	0.00	μB per cell
polymorph energy (0 for the lowest one)	347	meV/atom